Record 1
PmGd2Pu, optimized geometry, DFT GGA-PBE; symmetry = P4/mmm; density = 9.2 g cm⁻³; total energy = -11.71 eV/atom; calculated volume = 127.5 Å³ per cell; energy of formation from the pure elements = 106 meV per atom
1.0
-0.8401 -2.8801 1.9132
1.1987 -2.0893 -2.6189
9.1797 0.0742 4.1426
Pu Pm Gd
1 1 2
Direct
0.5000 0.5000 0.0000
0.5000 0.5000 0.5000
0.0000 0.0000 0.2417
0.0000 0.0000 0.7583

Record 2
PmGd2Pu, optimized geometry, DFT GGA-PBE; symmetry = Fm-3m; density = 9.1 g cm⁻³; total energy = -11.61 eV/atom; calculated volume = 129.0 Å³ per cell; energy of formation from the pure elements = 199 meV per atom
1.0
-1.8925 1.8703 5.0083
-1.1296 -3.6850 4.1602
3.3543 -0.2365 4.5667
Gd Pu Pm
2 1 1
Direct
0.2500 0.2500 0.2500
0.7500 0.7500 0.7500
0.5000 0.5000 0.5000
0.0000 0.0000 0.0000

Record 3
PmGdPu, optimized geometry, DFT GGA-PBE; symmetry = I4mm; density = 9.7 g cm⁻³; total energy = -10.94 eV/atom; calculated volume = 93.6 Å³ per cell; energy of formation from the pure elements = 113 meV per atom
1.0
-3.0682 -0.8748 1.5443
1.0275 -3.3902 0.1210
4.0634 3.2941 5.8710
Pm Gd Pu
1 1 1
Direct
0.3309 0.3309 0.6619
0.0032 0.0032 0.0064
0.6659 0.6659 0.3317

Record 4
PmGdPu2, optimized geometry, DFT GGA-PBE; symmetry = Fm-3m; density = 10.9 g cm⁻³; total energy = -11.58 eV/atom; calculated volume = 120.8 Å³ per cell; energy of formation from the pure elements = 295 meV per atom
1.0
-2.2119 4.8375 -1.5787
0.0347 1.4501 -5.3555
-4.7390 0.0737 -2.8849
Pm Gd Pu
1 1 2
Direct
0.0000 0.0000 0.0000
0.5000 0.5000 0.5000
0.7500 0.7500 0.7500
0.2500 0.2500 0.2500

Record 5
PmGdPu2, optimized geometry, DFT GGA-PBE; symmetry = P4/mmm; density = 11.1 g cm⁻³; total energy = -11.67 eV/atom; calculated volume = 118.2 Å³ per cell; energy of formation from the pure elements = 201 meV per atom
1.0
5.0571 0.0000 0.0000
0.0000 4.8344 0.0000
0.0000 0.0000 4.8344
Pu Pm Gd
2 1 1
Direct
0.0000 0.0000 0.5000
0.0000 0.5000 0.0000
0.5000 0.0000 0.0000
0.5000 0.5000 0.5000

Record 6
PmGd2Pu, optimized geometry, DFT GGA-PBE; symmetry = P4/mmm; density = 9.4 g cm⁻³; total energy = -11.67 eV/atom; calculated volume = 124.9 Å³ per cell; energy of formation from the pure elements = 143 meV per atom
1.0
-3.0824 2.7867 2.7683
2.7666 -0.9663 4.0533
2.7979 4.0361 -0.9475
Gd Pm Pu
2 1 1
Direct
0.0000 0.0000 0.5000
0.0000 0.5000 0.0000
0.5000 0.5000 0.5000
0.5000 0.0000 0.0000

Record 7
PmSmGdPu, optimized geometry, DFT GGA-PBE; symmetry = F-43m; density = 9.0 g cm⁻³; total energy = -9.24 eV/atom; calculated volume = 129.1 Å³ per cell; energy of formation from the pure elements = 234 meV per atom
1.0
-3.5257 4.3515 0.9025
-5.4563 -0.4128 -1.4965
-4.0143 -0.3824 3.9899
Pu Gd Sm Pm
1 1 1 1
Direct
0.5000 0.5000 0.5000
0.0000 0.0000 0.0000
0.2500 0.2500 0.2500
0.7500 0.7500 0.7500

Record 8
PmGdPuTl, optimized geometry, DFT GGA-PBE; symmetry = F-43m; density = 10.6 g cm⁻³; total energy = -8.80 eV/atom; calculated volume = 117.3 Å³ per cell; energy of formation from the pure elements = 78 meV per atom
1.0
-5.4397 -0.1393 -0.7634
-3.1674 -2.9990 3.3416
-3.3417 2.4877 3.5828
Gd Pu Tl Pm
1 1 1 1
Direct
0.0000 0.0000 0.0000
0.5000 0.5000 0.5000
0.2500 0.2500 0.2500
0.7500 0.7500 0.7500

Record 9
PmGdTmPu, optimized geometry, DFT GGA-PBE; symmetry = F-43m; density = 9.5 g cm⁻³; total energy = -9.22 eV/atom; calculated volume = 124.9 Å³ per cell; energy of formation from the pure elements = 190 meV per atom
1.0
-1.1620 4.5809 -3.0254
-3.8760 3.6390 1.7948
1.5518 5.0606 1.8626
Gd Pu Pm Tm
1 1 1 1
Direct
0.7500 0.7500 0.7500
0.2500 0.2500 0.2500
0.5000 0.5000 0.5000
0.0000 0.0000 0.0000

Record 10
PmGdRe4, optimized geometry, DFT GGA-PBE; symmetry = F-43m; density = 15.0 g cm⁻³; total energy = -11.49 eV/atom; calculated volume = 115.7 Å³ per cell; energy of formation from the pure elements = -49 meV per atom
1.0
5.4691 0.0000 0.0000
2.7345 4.7363 0.0000
2.7345 1.5788 4.4655
Re Pm Gd
4 1 1
Direct
0.6250 0.6250 0.6250
0.1249 0.6250 0.6250
0.6250 0.6250 0.1249
0.6250 0.1249 0.6250
0.2500 0.2500 0.2500
0.0000 0.0000 0.0000

Record 11
PmGd3Rh, optimized geometry, DFT GGA-PBE; symmetry = Pm-3m; density = 7.3 g cm⁻³; total energy = -11.10 eV/atom; calculated volume = 163.4 Å³ per cell; energy of formation from the pure elements = -226 meV per atom
1.0
5.4670 0.0000 0.0000
0.0000 5.4670 0.0000
0.0000 0.0000 5.4670
Gd Pm Rh
3 1 1
Direct
0.5000 0.0000 0.0000
0.0000 0.5000 0.0000
0.0000 0.0000 0.5000
0.5000 0.5000 0.5000
0.0000 0.0000 0.0000

Record 12
PmGdRh4, optimized geometry, DFT GGA-PBE; symmetry = F-43m; density = 10.8 g cm⁻³; total energy = -8.74 eV/atom; calculated volume = 110.1 Å³ per cell; energy of formation from the pure elements = -697 meV per atom
1.0
-2.7659 -3.4629 3.0506
-0.9045 -5.0045 -1.7563
2.5175 -4.1572 2.3081
Pm Gd Rh
1 1 4
Direct
0.2500 0.2500 0.2500
0.0000 0.0000 0.0000
0.6250 0.6250 0.6250
0.6250 0.1249 0.6250
0.6250 0.6250 0.1249
0.1249 0.6250 0.6250

Record 13
PmGdRh2, optimized geometry, DFT GGA-PBE; symmetry = P4/mmm; density = 9.9 g cm⁻³; total energy = -9.12 eV/atom; calculated volume = 85.0 Å³ per cell; energy of formation from the pure elements = -734 meV per atom
1.0
-0.3355 -3.3737 -0.4355
3.6500 -0.7893 3.3026
-3.3601 -0.1409 3.6800
Rh Gd Pm
2 1 1
Direct
0.0000 0.5000 0.0000
0.0000 0.0000 0.5000
0.5000 0.0000 0.0000
0.5000 0.5000 0.5000

Record 14
PmGdRh2, optimized geometry, DFT GGA-PBE; symmetry = Fm-3m; density = 9.9 g cm⁻³; total energy = -9.12 eV/atom; calculated volume = 85.0 Å³ per cell; energy of formation from the pure elements = -739 meV per atom
1.0
-0.8831 -1.1946 4.7058
3.5374 -2.1143 2.7145
2.1662 2.5354 3.6375
Pm Gd Rh
1 1 2
Direct
0.5000 0.5000 0.5000
0.0000 0.0000 0.0000
0.2500 0.2500 0.2500
0.7500 0.7500 0.7500

Record 15
PmGdRuRh, optimized geometry, DFT GGA-PBE; symmetry = F-43m; density = 10.0 g cm⁻³; total energy = -9.33 eV/atom; calculated volume = 83.9 Å³ per cell; energy of formation from the pure elements = -469 meV per atom
1.0
-0.8721 -1.8018 -4.4884
3.7007 -0.5593 -3.1851
1.5622 -4.5064 -1.1851
Pm Ru Rh Gd
1 1 1 1
Direct
0.5000 0.5000 0.5000
0.7500 0.7500 0.7500
0.2500 0.2500 0.2500
0.0000 0.0000 0.0000

Record 16
PmGdSbRh, optimized geometry, DFT GGA-PBE; formation energy (no corrections) = -69.2 kJ per mole of atoms; symmetry = F-43m; density = 8.8 g cm⁻³; total energy = -8.29 eV/atom; calculated volume = 98.9 Å³ per cell
1.0
-3.3250 -2.5351 3.0752
1.7400 -2.4910 4.2079
-1.0745 1.8380 4.7335
Sb Rh Pm Gd
1 1 1 1
Direct
0.0000 0.0000 0.0000
0.5000 0.5000 0.5000
0.2500 0.2500 0.2500
0.7500 0.7500 0.7500

Record 17
PmGdSnRh, optimized geometry, DFT GGA-PBE; symmetry = F-43m; density = 8.8 g cm⁻³; total energy = -8.15 eV/atom; calculated volume = 99.2 Å³ per cell; energy of formation from the pure elements = -601 meV per atom
1.0
-0.7940 1.3206 -4.9620
-0.0757 -3.6638 -3.6833
-4.4714 -1.2436 -2.3357
Rh Pm Sn Gd
1 1 1 1
Direct
0.7500 0.7500 0.7500
0.0000 0.0000 0.0000
0.2500 0.2500 0.2500
0.5000 0.5000 0.5000

Record 18
PmGdZnRh, optimized geometry, DFT GGA-PBE; symmetry = F-43m; density = 8.7 g cm⁻³; total energy = -7.40 eV/atom; calculated volume = 90.0 Å³ per cell; energy of formation from the pure elements = -531 meV per atom
1.0
-2.0819 0.2923 4.5699
-2.7074 -3.8472 1.7811
1.7963 -2.8089 3.7665
Rh Zn Gd Pm
1 1 1 1
Direct
0.5000 0.5000 0.5000
0.0000 0.0000 0.0000
0.2500 0.2500 0.2500
0.7500 0.7500 0.7500

Record 19
PmGd3Ru, optimized geometry, DFT GGA-PBE; symmetry = Pm-3m; density = 7.4 g cm⁻³; total energy = -11.33 eV/atom; calculated volume = 160.5 Å³ per cell; energy of formation from the pure elements = -73 meV per atom
1.0
-2.3723 1.3462 -4.7009
4.2435 -2.0295 -2.7227
-2.4298 -4.8588 -0.1653
Pm Gd Ru
1 3 1
Direct
0.5000 0.5000 0.5000
0.0000 0.5000 0.0000
0.0000 0.0000 0.5000
0.5000 0.0000 0.0000
0.0000 0.0000 0.0000

Record 20
Pm3GdRu, optimized geometry, DFT GGA-PBE; symmetry = Pm-3m; density = 6.9 g cm⁻³; total energy = -7.52 eV/atom; calculated volume = 167.0 Å³ per cell; energy of formation from the pure elements = 4 meV per atom
1.0
-0.7248 -5.4583 0.0666
3.4701 -0.4088 4.2561
-4.2138 0.6021 3.4934
Pm Ru Gd
3 1 1
Direct
0.0000 0.0000 0.5000
0.5000 0.0000 0.0000
0.0000 0.5000 0.0000
0.0000 0.0000 0.0000
0.5000 0.5000 0.5000

Record 21
Pm2GdRu, optimized geometry, DFT GGA-PBE; symmetry = R-3m; density = 7.6 g cm⁻³; total energy = -8.04 eV/atom; calculated volume = 120.5 Å³ per cell; energy of formation from the pure elements = 178 meV per atom
1.0
3.6165 0.0000 0.0000
1.8082 3.1320 0.0000
1.8082 1.0440 10.6424
Pm Ru Gd
2 1 1
Direct
0.1071 0.1071 0.6788
0.8929 0.8929 0.3212
0.5000 0.5000 0.5000
0.0000 0.0000 0.0000

Record 22
PmGdRu2, optimized geometry, DFT GGA-PBE; symmetry = Fm-3m; density = 10.1 g cm⁻³; total energy = -9.52 eV/atom; calculated volume = 82.6 Å³ per cell; energy of formation from the pure elements = -176 meV per atom
1.0
-2.8312 3.7780 1.2683
-2.9021 -0.3281 3.9202
1.0256 2.5806 4.0232
Ru Gd Pm
2 1 1
Direct
0.7500 0.7500 0.7500
0.2500 0.2500 0.2500
0.5000 0.5000 0.5000
0.0000 0.0000 0.0000

Record 23
Pm2GdRu, optimized geometry, DFT GGA-PBE; symmetry = P4/mmm; density = 8.1 g cm⁻³; total energy = -8.29 eV/atom; calculated volume = 112.4 Å³ per cell; energy of formation from the pure elements = -76 meV per atom
1.0
3.5273 0.0000 0.0000
0.0000 3.5273 0.0000
0.0000 0.0000 9.0310
Pm Gd Ru
2 1 1
Direct
0.0000 0.0000 0.8128
0.0000 0.0000 0.1872
0.5000 0.5000 0.5000
0.5000 0.5000 0.0000

Record 24
PmGdRu2, optimized geometry, DFT GGA-PBE; symmetry = P4/mmm; density = 10.1 g cm⁻³; total energy = -9.52 eV/atom; calculated volume = 82.6 Å³ per cell; energy of formation from the pure elements = -177 meV per atom
1.0
3.4672 0.0000 0.0000
0.0000 4.8812 0.0000
0.0000 0.0000 4.8812
Ru Pm Gd
2 1 1
Direct
0.0000 0.0000 0.5000
0.0000 0.5000 0.0000
0.5000 0.5000 0.5000
0.5000 0.0000 0.0000

Record 25
PmGd2Ru, optimized geometry, DFT GGA-PBE; symmetry = R-3m; density = 7.8 g cm⁻³; total energy = -10.58 eV/atom; calculated volume = 118.8 Å³ per cell; energy of formation from the pure elements = -30 meV per atom
1.0
-1.8339 -2.6901 1.9750
-0.4908 -3.4642 -1.5032
7.4282 -4.8593 3.9497
Gd Pm Ru
2 1 1
Direct
0.2753 0.2753 0.1741
0.7247 0.7247 0.8259
0.5000 0.5000 0.5000
0.0000 0.0000 0.0000

Record 26
PmGd2Ru, optimized geometry, DFT GGA-PBE; symmetry = P4/mmm; density = 8.5 g cm⁻³; total energy = -10.72 eV/atom; calculated volume = 109.4 Å³ per cell; energy of formation from the pure elements = -172 meV per atom
1.0
-1.1791 -1.0194 -3.0941
-1.9469 -2.4179 1.5384
-6.8730 5.9528 0.6580
Gd Pm Ru
2 1 1
Direct
0.0000 0.0000 0.8178
0.0000 0.0000 0.1822
0.5000 0.5000 0.5000
0.5000 0.5000 0.0000

Record 27
PmGdTmRu, optimized geometry, DFT GGA-PBE; symmetry = F-43m; density = 9.6 g cm⁻³; total energy = -8.02 eV/atom; calculated volume = 99.2 Å³ per cell; energy of formation from the pure elements = 121 meV per atom
1.0
-5.1514 -0.5210 0.4304
-2.0287 -2.4560 4.1044
-2.5896 2.6860 3.6157
Pm Ru Gd Tm
1 1 1 1
Direct
0.5000 0.5000 0.5000
0.2500 0.2500 0.2500
0.0000 0.0000 0.0000
0.7500 0.7500 0.7500

Record 28
Pm3GdS, optimized geometry, DFT GGA-PBE; formation energy (no corrections) = -64.7 kJ per mole of atoms; symmetry = Pm-3m; density = 6.4 g cm⁻³; total energy = -7.16 eV/atom; calculated volume = 163.1 Å³ per cell
1.0
-5.3079 -0.1477 1.2865
0.8647 -4.4450 3.0570
0.9640 3.1735 4.3417
Pm S Gd
3 1 1
Direct
0.0000 0.5000 0.0000
0.0000 0.0000 0.5000
0.5000 0.0000 0.0000
0.0000 0.0000 0.0000
0.5000 0.5000 0.5000

Record 29
PmGdS, optimized geometry, DFT GGA-PBE; formation energy (no corrections) = -124.7 kJ per mole of atoms; symmetry = P3m1; density = 6.6 g cm⁻³; total energy = -8.95 eV/atom; calculated volume = 83.8 Å³ per cell
1.0
-2.5527 -5.8072 -1.3424
3.3186 -1.6944 1.0190
-2.7535 0.5996 2.6422
Gd S Pm
1 1 1
Direct
0.0760 0.0000 0.0000
0.3284 0.3333 0.6667
0.5956 0.6667 0.3333

Record 30
PmGd3S, optimized geometry, DFT GGA-PBE; formation energy (no corrections) = -64.7 kJ per mole of atoms; symmetry = Pm-3m; density = 6.9 g cm⁻³; total energy = -10.89 eV/atom; calculated volume = 156.7 Å³ per cell
1.0
-4.3561 -0.5804 -3.1240
0.1118 -5.3258 0.8336
-3.1754 0.6087 4.3148
Gd S Pm
3 1 1
Direct
0.0000 0.5000 0.0000
0.0000 0.0000 0.5000
0.5000 0.0000 0.0000
0.0000 0.0000 0.0000
0.5000 0.5000 0.5000